Here is ThPaS2 after structural relaxation from Alexandria via LeMat-Bulk. Energies are from PBE-GGA.

a b c (Å): 3.461 3.461 6.945
angles (deg): 90.00 90.00 90.00
Positions (direct):
Th  0.000  0.000  0.000
Pa  0.000  0.000  0.500
S  0.500  0.500  0.259
S  0.500  0.500  0.741

Values from the calculation:
- D(E_F): 1.446 states/eV/atom
- Space group: P4/mmm (123)
- Formation energy (no corrections): -1286 meV/atom
- E_tot: -7.58 eV per atom
- Spin magnetization: 0.0 Bohr magnetons per cell

---

Here is ThPa2S6 after structural relaxation from Alexandria via LeMat-Bulk. Energies are from PBE-GGA.

a b c (Å): 7.281 7.281 8.943
angles (deg): 122.96 122.96 40.97
Positions (direct):
Th  0.000  0.000  0.000
Pa  0.182  0.182  0.607
Pa  0.818  0.818  0.393
S  0.037  0.037  0.720
S  0.247  0.247  0.361
S  0.371  0.371  0.945
S  0.629  0.629  0.055
S  0.753  0.753  0.639
S  0.963  0.963  0.280

Values from the calculation:
- D(E_F): 0.884 states/eV/atom
- Space group: C2/m (12)
- Formation energy (no corrections): -1615 meV/atom
- E_tot: -7.30 eV per atom
- Spin magnetization: 2.1 Bohr magnetons per cell

---

Here is ThPaS2 after structural relaxation from Alexandria via LeMat-Bulk. Energies are from PBE-GGA.

a b c (Å): 9.193 9.193 9.193
angles (deg): 23.46 23.46 23.46
Positions (direct):
Th  0.000  0.000  0.000
Pa  0.500  0.500  0.500
S  0.402  0.402  0.402
S  0.598  0.598  0.598

Values from the calculation:
- D(E_F): 0.982 states/eV/atom
- Space group: R-3m (166)
- Formation energy (no corrections): -1033 meV/atom
- E_tot: -7.33 eV per atom
- Spin magnetization: 0.0 Bohr magnetons per cell

---

Here is ThPaS3 after structural relaxation from Alexandria via LeMat-Bulk. Energies are from PBE-GGA.

a b c (Å): 7.902 7.902 7.902
angles (deg): 50.22 50.22 50.22
Positions (direct):
Th  0.157  0.157  0.157
Th  0.843  0.843  0.843
Pa  0.340  0.340  0.340
Pa  0.660  0.660  0.660
S  0.057  0.450  0.740
S  0.260  0.550  0.943
S  0.450  0.740  0.057
S  0.550  0.943  0.260
S  0.740  0.057  0.450
S  0.943  0.260  0.550

Values from the calculation:
- D(E_F): 1.038 states/eV/atom
- Space group: R32 (155)
- Formation energy (no corrections): -1530 meV/atom
- E_tot: -7.39 eV per atom
- Spin magnetization: 2.4 Bohr magnetons per cell

---

Here is Th4PaS10 after structural relaxation from Alexandria via LeMat-Bulk. Energies are from PBE-GGA.

a b c (Å): 8.144 8.144 8.144
angles (deg): 99.60 99.60 131.81
Positions (direct):
Th  0.100  0.299  0.399
Th  0.299  0.900  0.199
Th  0.701  0.100  0.801
Th  0.900  0.701  0.601
Pa  0.500  0.500  0.000
S  0.055  0.153  0.703
S  0.153  0.451  0.099
S  0.250  0.750  0.500
S  0.352  0.055  0.901
S  0.451  0.352  0.297
S  0.549  0.648  0.703
S  0.648  0.945  0.099
S  0.750  0.250  0.500
S  0.847  0.549  0.901
S  0.945  0.847  0.297

Values from the calculation:
- D(E_F): 0.474 states/eV/atom
- Space group: I4/m (87)
- Formation energy (no corrections): -1926 meV/atom
- E_tot: -7.29 eV per atom
- Spin magnetization: 1.0 Bohr magnetons per cell

---

Here is Th3PaS4 after structural relaxation from Alexandria via LeMat-Bulk. Energies are from PBE-GGA.

a b c (Å): 6.909 8.143 6.904
angles (deg): 90.00 110.36 90.00
Positions (direct):
Th  0.000  0.124  0.250
Th  0.000  0.374  0.750
Th  0.000  0.626  0.250
Th  0.000  0.876  0.750
Th  0.500  0.374  0.250
Th  0.500  0.626  0.750
Pa  0.500  0.123  0.750
Pa  0.500  0.877  0.250
S  0.254  0.371  0.504
S  0.254  0.629  0.004
S  0.257  0.122  0.999
S  0.257  0.878  0.499
S  0.743  0.122  0.501
S  0.743  0.878  0.001
S  0.746  0.371  0.996
S  0.746  0.629  0.496

Values from the calculation:
- D(E_F): 0.934 states/eV/atom
- Space group: P2/c (13)
- Formation energy (no corrections): -1773 meV/atom
- E_tot: -7.81 eV per atom
- Spin magnetization: 0.0 Bohr magnetons per cell

---

Here is ThPaS4 after structural relaxation from Alexandria via LeMat-Bulk. Energies are from PBE-GGA.

a b c (Å): 4.665 4.665 6.612
angles (deg): 90.00 90.00 90.00
Positions (direct):
Th  0.000  0.000  0.000
Pa  0.500  0.500  0.500
S  0.000  0.500  0.255
S  0.000  0.500  0.745
S  0.500  0.000  0.255
S  0.500  0.000  0.745

Values from the calculation:
- D(E_F): 0.930 states/eV/atom
- Space group: P4/mmm (123)
- Formation energy (no corrections): -1804 meV/atom
- E_tot: -7.38 eV per atom
- Spin magnetization: 1.0 Bohr magnetons per cell

---

Here is ThPaS4 after structural relaxation from Alexandria via LeMat-Bulk. Energies are from PBE-GGA.

a b c (Å): 3.674 3.674 8.768
angles (deg): 90.00 90.00 90.00
Positions (direct):
Th  0.000  0.000  0.000
Pa  0.500  0.500  0.500
S  0.000  0.000  0.348
S  0.000  0.000  0.652
S  0.500  0.500  0.162
S  0.500  0.500  0.838

Values from the calculation:
- D(E_F): 0.399 states/eV/atom
- Space group: P4/mmm (123)
- Formation energy (no corrections): -1638 meV/atom
- E_tot: -7.21 eV per atom
- Spin magnetization: 0.0 Bohr magnetons per cell

---

Here is ThPaS2 after structural relaxation from Alexandria via LeMat-Bulk. Energies are from PBE-GGA.

a b c (Å): 7.680 7.680 7.680
angles (deg): 28.36 28.36 28.36
Positions (direct):
Th  0.000  0.000  0.000
Pa  0.173  0.173  0.173
S  0.422  0.422  0.422
S  0.584  0.584  0.584

Values from the calculation:
- D(E_F): 1.196 states/eV/atom
- Space group: R3m (160)
- Formation energy (no corrections): -1553 meV/atom
- E_tot: -7.85 eV per atom
- Spin magnetization: 0.3 Bohr magnetons per cell

---

Here is ThPaS2 after structural relaxation from Alexandria via LeMat-Bulk. Energies are from PBE-GGA.

a b c (Å): 4.904 4.904 4.904
angles (deg): 60.00 60.00 60.00
Positions (direct):
Th  0.000  0.000  0.000
Pa  0.500  0.500  0.500
S  0.250  0.250  0.250
S  0.750  0.750  0.750

Values from the calculation:
- D(E_F): 1.426 states/eV/atom
- Space group: Fm-3m (225)
- Formation energy (no corrections): -1278 meV/atom
- E_tot: -7.57 eV per atom
- Spin magnetization: 0.0 Bohr magnetons per cell

---

Here is ThPa4S5 after structural relaxation from Alexandria via LeMat-Bulk. Energies are from PBE-GGA.

a b c (Å): 6.802 6.802 6.802
angles (deg): 99.58 99.58 131.84
Positions (direct):
Th  0.000  0.000  0.000
Pa  0.200  0.397  0.597
Pa  0.397  0.800  0.197
Pa  0.603  0.200  0.803
Pa  0.800  0.603  0.403
S  0.101  0.694  0.795
S  0.306  0.101  0.407
S  0.500  0.500  0.000
S  0.694  0.899  0.593
S  0.899  0.306  0.205

Values from the calculation:
- D(E_F): 1.631 states/eV/atom
- Space group: I4/m (87)
- Formation energy (no corrections): -1636 meV/atom
- E_tot: -8.24 eV per atom
- Spin magnetization: 0.0 Bohr magnetons per cell

---

Here is ThPa3S4 after structural relaxation from Alexandria via LeMat-Bulk. Energies are from PBE-GGA.

a b c (Å): 6.918 6.918 3.760
angles (deg): 90.77 90.77 72.74
Positions (direct):
Th  0.000  0.000  0.000
Pa  0.000  0.500  0.500
Pa  0.500  0.000  0.500
Pa  0.500  0.500  0.000
S  0.253  0.253  0.000
S  0.256  0.744  0.500
S  0.744  0.256  0.500
S  0.747  0.747  0.000

Values from the calculation:
- D(E_F): 1.448 states/eV/atom
- Space group: C2/m (12)
- Formation energy (no corrections): -1648 meV/atom
- E_tot: -8.20 eV per atom
- Spin magnetization: 0.0 Bohr magnetons per cell